# 1
First-principles (GGA-PBEsol) data for a geometry-optimized Li2YAg structure, as listed in the Alexandria database.

Cell: 3.4597 3.4597 6.9528 Å, 90.00 90.00 90.00°
Last column: nearest neighbours and their distance in Å.
Element x y z (fractional)
Y (0.5000, 0.5000, 0.5332)  4 Ag 3.02, 1 Li 3.15
Ag (0.0000, 0.0000, 0.7879)  5 Li 2.81, 4 Y 3.02
Li (0.5000, 0.5000, 0.9863)  4 Ag 2.81, 4 Li 2.84
Li (0.0000, 0.0000, 0.1926)  1 Ag 2.81, 4 Li 2.84

Crystal system ... tetragonal
Total magnetic moment ... 0.00 Bohr magnetons per cell
Calculated total energy ... -0.1326 Ha/atom

***

# 2
First-principles (GGA-PBEsol) data for a geometry-optimized MgAl2AuS structure, as listed in the Alexandria database.

Cell: 4.5377 4.6452 4.6452 Å, 90.00 90.00 90.00°
Last column: nearest neighbours and their distance in Å.
Element x y z (fractional)
Mg (0.5000, 0.0000, 0.0000)  2 S 2.27
S (0.0000, 0.0000, 0.0000)  2 Mg 2.27, 4 Al 2.32
Au (0.5000, 0.5000, 0.5000)  8 Al 3.25, 4 Mg 3.28
Al (0.0000, 0.0000, 0.5000)  2 S 2.32
Al (0.0000, 0.5000, 0.0000)  2 S 2.32

Crystal system ... tetragonal
Total magnetic moment ... 0.00 Bohr magnetons per cell
Calculated total energy ... -0.1275 Ha/atom

***

# 3
First-principles (GGA-PBEsol) data for a geometry-optimized ScAg2Br structure, as listed in the Alexandria database.

Cell: 3.4063 5.1917 5.6075 Å, 117.58 107.68 90.00°
Last column: nearest neighbours and their distance in Å.
Element x y z (fractional)
Ag (0.0097, 0.0097, 0.0195)  2 Sc 2.87, 2 Ag 2.90, 4 Br 3.12
Ag (0.2588, 0.7588, 0.5176)  2 Ag 2.90, 4 Sc 3.10, 2 Br 3.15
Br (0.4748, 0.4748, 0.9497)  2 Sc 2.66
Sc (0.7566, 0.2566, 0.5133)  2 Br 2.66, 2 Ag 2.87

Crystal system ... orthorhombic
Total magnetic moment ... 0.00 Bohr magnetons per cell
Calculated total energy ... -0.1442 Ha/atom

***

# 4
First-principles (GGA-PBEsol) data for a geometry-optimized La2FeTc structure, as listed in the Alexandria database.

Cell: 3.8501 5.0013 5.5395 Å, 116.83 110.34 90.00°
Last column: nearest neighbours and their distance in Å.
Element x y z (fractional)
Fe (0.1846, 0.6846, 0.3693)  2 Tc 2.19
La (0.9708, 0.9708, 0.9415)  4 La 3.07-3.37, 4 Fe 3.17-3.24, 4 Tc 3.28
La (0.7750, 0.2750, 0.5501)  4 La 3.07-3.37, 4 Tc 3.12-3.30, 4 Fe 3.26
Tc (0.5695, 0.5695, 0.1391)  2 Fe 2.19

Crystal system ... orthorhombic
Total magnetic moment ... 0.01 Bohr magnetons per cell
Calculated total energy ... -0.2758 Ha/atom

***

# 5
First-principles (GGA-PBEsol) data for a geometry-optimized ScAl2In structure, as listed in the Alexandria database.

Cell: 3.2349 4.1320 5.8818 Å, 90.00 90.00 90.00°
Last column: nearest neighbours and their distance in Å.
Element x y z (fractional)
Sc (0.5000, 0.5000, 0.5000)  2 In 2.94, 8 Al 2.97, 2 Sc 3.23
Al (0.0000, 0.0000, 0.7355)  1 Al 2.77, 4 Sc 2.97, 4 In 3.05
Al (0.0000, 0.0000, 0.2645)  1 Al 2.77, 4 Sc 2.97, 4 In 3.05
In (0.5000, 0.5000, 0.0000)  2 Sc 2.94, 8 Al 3.05, 2 In 3.23

Crystal system ... orthorhombic
Total magnetic moment ... 0.00 Bohr magnetons per cell
Calculated total energy ... -0.1700 Ha/atom

***

# 6
First-principles (GGA-PBEsol) data for a geometry-optimized SrBeZn2Si structure, as listed in the Alexandria database.

Cell: 5.5867 5.6256 5.6256 Å, 90.00 90.00 90.00°
Last column: nearest neighbours and their distance in Å.
Element x y z (fractional)
Sr (0.0000, 0.0000, 0.0000)  2 Si 2.79, 4 Zn 2.81
Zn (0.0000, 0.0000, 0.5000)  2 Sr 2.81
Zn (0.0000, 0.5000, 0.0000)  2 Sr 2.81
Si (0.5000, 0.0000, 0.0000)  2 Sr 2.79
Be (0.5000, 0.5000, 0.5000)  8 Zn 3.96, 4 Si 3.98

Crystal system ... tetragonal
Total magnetic moment ... 0.00 Bohr magnetons per cell
Calculated total energy ... -0.0446 Ha/atom

***

# 7
First-principles (GGA-PBEsol) data for a geometry-optimized Li3VF6 structure, as listed in the Alexandria database.

Cell: 5.1258 5.3902 8.6533 Å, 90.00 90.00 116.01°
Last column: nearest neighbours and their distance in Å.
Element x y z (fractional)
Li (0.5552, 0.0203, 0.8122)  4 F 1.84-2.03
Li (0.0814, 0.1807, 0.6702)  4 F 1.82-1.92
Li (0.1725, 0.4348, 0.3383)  4 F 1.89-1.99
Li (0.8275, 0.5652, 0.8383)  4 F 1.89-1.99
Li (0.4448, 0.9797, 0.3122)  4 F 1.84-2.03
Li (0.9186, 0.8193, 0.1702)  4 F 1.82-1.92
V (0.2488, 0.4375, 0.0048)  6 F 1.91-1.97
V (0.7512, 0.5625, 0.5048)  6 F 1.91-1.97
F (0.2187, 0.1905, 0.1788)  2 Li 1.92-1.99, 1 V 1.97
F (0.3358, 0.3457, 0.5128)  2 Li 1.82-1.89, 1 V 1.93
F (0.3265, 0.2300, 0.8422)  2 Li 1.89-1.97, 1 V 1.94
F (0.7637, 0.3093, 0.3512)  2 Li 1.84-1.90, 1 V 1.93
F (0.8433, 0.2331, 0.9641)  1 V 1.91, 2 Li 1.93-2.13
F (0.7996, 0.3247, 0.6631)  3 Li 1.92-2.03, 1 V 1.96
F (0.6735, 0.7700, 0.3422)  2 Li 1.89-1.97, 1 V 1.94
F (0.6642, 0.6543, 0.0128)  2 Li 1.82-1.89, 1 V 1.93
F (0.7813, 0.8095, 0.6788)  2 Li 1.92-1.99, 1 V 1.97
F (0.2004, 0.6753, 0.1631)  3 Li 1.92-2.03, 1 V 1.96
F (0.1567, 0.7669, 0.4641)  1 V 1.91, 2 Li 1.93-2.13
F (0.2363, 0.6907, 0.8512)  2 Li 1.84-1.90, 1 V 1.93

Crystal system ... monoclinic
Total magnetic moment ... 4.00 Bohr magnetons per cell
Calculated total energy ... -0.2061 Ha/atom

***

# 8
First-principles (GGA-PBEsol) data for a geometry-optimized LiP2W structure, as listed in the Alexandria database.

Cell: 4.2175 4.2175 4.2175 Å, 60.00 60.00 60.00°
Last column: nearest neighbours and their distance in Å.
Element x y z (fractional)
Li (0.0000, 0.0000, 0.0000)  8 P 2.58
P (0.2500, 0.2500, 0.2500)  4 W 2.58, 4 Li 2.58
P (0.7500, 0.7500, 0.7500)  4 W 2.58, 4 Li 2.58
W (0.5000, 0.5000, 0.5000)  8 P 2.58

Crystal system ... cubic
Total magnetic moment ... 0.00 Bohr magnetons per cell
Calculated total energy ... -0.2539 Ha/atom

***

# 9
First-principles (GGA-PBEsol) data for a geometry-optimized ZrPRh2 structure, as listed in the Alexandria database.

Cell: 3.6362 3.8152 4.8423 Å, 90.00 112.01 90.00°
Last column: nearest neighbours and their distance in Å.
Element x y z (fractional)
P (0.6823, 0.5000, 0.7325)  3 Rh 2.25-2.33
Rh (0.8104, 0.0000, 0.9997)  2 P 2.25, 1 Zr 2.49
Rh (0.4163, 0.5000, 0.2142)  1 P 2.33
Zr (0.0911, 0.0000, 0.5535)  3 Rh 2.49-2.71, 4 P 2.75-2.76

Crystal system ... monoclinic
Total magnetic moment ... 0.00 Bohr magnetons per cell
Calculated total energy ... -0.3128 Ha/atom

***

# 10
First-principles (GGA-PBEsol) data for a geometry-optimized FeNiPt2 structure, as listed in the Alexandria database.

Cell: 2.6702 4.0291 5.0744 Å, 90.00 105.35 90.00°
Last column: nearest neighbours and their distance in Å.
Element x y z (fractional)
Ni (0.3158, 0.5000, 0.7570)  2 Fe 2.39, 6 Pt 2.58-2.67, 2 Ni 2.67
Fe (0.1856, 0.0000, 0.4959)  2 Ni 2.39, 7 Pt 2.61-2.65, 2 Fe 2.67
Pt (0.9191, 0.0000, 0.9627)  3 Fe 2.61-2.65, 4 Ni 2.62, 6 Pt 2.67-2.89
Pt (0.5795, 0.5000, 0.2844)  3 Ni 2.58-2.67, 4 Fe 2.63, 6 Pt 2.67-2.89

Crystal system ... monoclinic
Total magnetic moment ... 4.43 Bohr magnetons per cell
Calculated total energy ... -0.2705 Ha/atom

***

# 11
First-principles (GGA-PBEsol) data for a geometry-optimized MnS structure, as listed in the Alexandria database.

Cell: 3.9348 3.9348 6.3366 Å, 90.00 90.00 120.00°
Last column: nearest neighbours and their distance in Å.
Element x y z (fractional)
S (0.6667, 0.3333, 0.1227)  4 Mn 2.40-2.41
S (0.3333, 0.6667, 0.6227)  4 Mn 2.40-2.41
Mn (0.3333, 0.6667, 0.0023)  4 S 2.40-2.41
Mn (0.6667, 0.3333, 0.5023)  4 S 2.40-2.41

Crystal system ... hexagonal
Total magnetic moment ... 9.79 Bohr magnetons per cell
Calculated total energy ... -0.2714 Ha/atom

***

# 12
First-principles (GGA-PBEsol) data for a geometry-optimized ZnAuO2F structure, as listed in the Alexandria database.

Cell: 3.8354 3.8942 3.8942 Å, 90.00 90.00 90.00°
Last column: nearest neighbours and their distance in Å.
Element x y z (fractional)
Zn (0.0000, 0.0000, 0.0000)  2 F 1.92, 4 O 1.95
Au (0.5000, 0.5000, 0.5000)  8 O 2.73, 4 F 2.75
O (0.0000, 0.0000, 0.5000)  2 Zn 1.95
O (0.0000, 0.5000, 0.0000)  2 Zn 1.95
F (0.5000, 0.0000, 0.0000)  2 Zn 1.92

Crystal system ... tetragonal
Total magnetic moment ... 1.66 Bohr magnetons per cell
Calculated total energy ... -0.1404 Ha/atom

***

Copy entry 8 word for word.
First-principles (GGA-PBEsol) data for a geometry-optimized LiP2W structure, as listed in the Alexandria database.

Cell: 4.2175 4.2175 4.2175 Å, 60.00 60.00 60.00°
Last column: nearest neighbours and their distance in Å.
Element x y z (fractional)
Li (0.0000, 0.0000, 0.0000)  8 P 2.58
P (0.2500, 0.2500, 0.2500)  4 W 2.58, 4 Li 2.58
P (0.7500, 0.7500, 0.7500)  4 W 2.58, 4 Li 2.58
W (0.5000, 0.5000, 0.5000)  8 P 2.58

Crystal system ... cubic
Total magnetic moment ... 0.00 Bohr magnetons per cell
Calculated total energy ... -0.2539 Ha/atom

***

- Which value of total magnetic moment does entry 5 give?
  0.00 Bohr magnetons per cell